(1)
Density functional theory data (GGA-PBE) for a relaxed structure of NaAcHgAs.

extended XYZ file:
```
16
Lattice="7.6426 0.0000 0.0000 0.0000 7.6426 0.0000 0.0000 0.0000 7.6426" Properties=species:S:1:pos:R:3 pbc="T T T"
Na 0.0000 0.0000 0.0000
Na 0.0000 3.8213 3.8213
Na 3.8213 0.0000 3.8213
Na 3.8213 3.8213 0.0000
Ac 0.0000 0.0000 3.8213
Ac 0.0000 3.8213 0.0000
Ac 3.8213 0.0000 0.0000
Ac 3.8213 3.8213 3.8213
Hg 1.9106 1.9106 1.9106
Hg 1.9106 5.7319 5.7319
Hg 5.7319 1.9106 5.7319
Hg 5.7319 5.7319 1.9106
As 1.9106 1.9106 5.7319
As 1.9106 5.7319 1.9106
As 5.7319 1.9106 1.9106
As 5.7319 5.7319 5.7319
```

Its formation energy from the elements is -0.5935 eV/atom.



(2)
Density functional theory data (GGA-PBE) for a relaxed structure of Tb3Pm2In7.

extended XYZ file:
```
12
Lattice="2.5959 -12.7831 0.0000 2.5959 12.7831 0.0000 0.0000 0.0000 5.3664" Properties=species:S:1:pos:R:3 pbc="T T T"
Tb 0.0000 0.0000 0.0000
Tb 2.5959 8.9269 0.0000
Tb 2.5959 -8.9269 0.0000
Pm 2.5959 3.7462 2.6832
Pm 2.5959 -3.7462 2.6832
In 2.5959 10.9624 2.6832
In 2.5959 7.0823 2.6832
In 2.5959 1.9342 0.0000
In 2.5959 0.0000 2.6832
In 2.5959 -1.9342 0.0000
In 2.5959 -7.0823 2.6832
In 2.5959 -10.9624 2.6832
```

Its formation energy from the elements is -0.2199 eV/atom.



(3)
Density functional theory data (GGA-PBE) for a relaxed structure of MgPaN2F.

extended XYZ file:
```
10
Lattice="1.6151 -5.3930 0.0000 1.6151 5.3930 0.0000 0.0000 0.0000 7.1063" Properties=species:S:1:pos:R:3 pbc="T T T"
Mg 0.0000 0.0000 0.0000
Mg 0.0000 0.0000 3.5531
Pa 1.6151 2.8490 5.3297
Pa 1.6151 -2.8490 1.7766
N 1.6151 1.5923 0.4224
N 1.6151 1.5923 3.1307
N 1.6151 -1.5923 3.9756
N 1.6151 -1.5923 6.6838
F 1.6151 4.5847 1.7766
F 1.6151 -4.5847 5.3297
```

The electronic total energy is -7.75 eV per atom.



(4)
Density functional theory data (GGA-PBE) for a relaxed structure of La2RuBr.

extended XYZ file:
```
4
Lattice="3.5134 0.0000 0.0000 0.0000 3.6732 0.0000 -0.9221 0.0000 8.2099" Properties=species:S:1:pos:R:3 pbc="T T T"
La 0.0668 0.0000 2.3775
La 2.5245 0.0000 5.8324
Ru 1.2957 1.8366 4.1049
Br 1.7567 1.8366 0.0000
```

The electronic total energy is -6.01 eV per atom.



(5)
Density functional theory data (GGA-PBE) for a relaxed structure of Ba2TlIn4Pb3.

extended XYZ file:
```
10
Lattice="5.1322 0.0000 0.0000 0.0000 5.1322 0.0000 0.0000 0.0000 13.1448" Properties=species:S:1:pos:R:3 pbc="T T T"
Ba 0.0000 2.5661 3.2910
Ba 2.5661 0.0000 9.8538
Tl 0.0000 0.0000 6.5724
In 0.0000 0.0000 0.0000
In 0.0000 2.5661 8.3201
In 2.5661 0.0000 4.8248
In 2.5661 2.5661 0.0000
Pb 0.0000 2.5661 11.3507
Pb 2.5661 0.0000 1.7941
Pb 2.5661 2.5661 6.5724
```

Its formation energy from the elements is -0.2539 eV/atom.



(6)
Density functional theory data (GGA-PBE) for a relaxed structure of LiNbCrI2.

extended XYZ file:
```
5
Lattice="5.4347 0.0000 0.0000 0.0000 5.4347 0.0000 0.0000 0.0000 5.4411" Properties=species:S:1:pos:R:3 pbc="T T T"
Li 0.0000 0.0000 0.0000
Nb 0.0000 0.0000 2.7206
Cr 2.7173 2.7173 0.0000
I 0.0000 2.7173 2.7206
I 2.7173 0.0000 2.7206
```

The electronic total energy is -4.07 eV per atom.



(7)
Density functional theory data (GGA-PBE) for a relaxed structure of SnAs2O.

extended XYZ file:
```
16
Lattice="5.2775 0.0000 0.0000 0.0000 5.2775 0.0000 0.0000 0.0000 12.6103" Properties=species:S:1:pos:R:3 pbc="T T T"
Sn 0.0000 0.0000 0.0000
Sn 0.0000 2.6388 3.1526
Sn 2.6388 0.0000 9.4577
Sn 2.6388 2.6388 6.3051
As 0.6893 1.3194 7.8814
As 1.3194 3.3281 11.0340
As 1.3194 4.5882 4.7289
As 1.9495 1.3194 1.5763
As 3.3281 3.9582 1.5763
As 3.9582 0.6893 4.7289
As 3.9582 1.9495 11.0340
As 4.5882 3.9582 7.8814
O 0.0000 0.0000 6.3051
O 0.0000 2.6388 9.4577
O 2.6388 0.0000 3.1526
O 2.6388 2.6388 0.0000
```

The electronic total energy is -4.64 eV per atom.



(8)
Density functional theory data (GGA-PBE) for a relaxed structure of LiMg2NiH.

extended XYZ file:
```
5
Lattice="4.6054 0.0000 0.0000 0.0000 4.6054 0.0000 0.0000 0.0000 3.2172" Properties=species:S:1:pos:R:3 pbc="T T T"
Li 0.0000 0.0000 0.0000
Mg 0.0000 2.3027 1.6086
Mg 2.3027 0.0000 1.6086
Ni 2.3027 2.3027 0.0000
H 2.3027 2.3027 1.6086
```

The electronic total energy is -2.96 eV per atom.